VASP calculation (GGA+U) on a relaxed FeRuNF2 crystal.

Cell and atoms, written as extended XYZ:
```
5
Lattice="4.2616 0.0000 0.0000 0.0000 4.2616 0.0000 0.0000 0.0000 3.7512" Properties=species:S:1:pos:R:3 pbc="T T T"
Fe 0.0000 0.0000 0.0000
Ru 2.1308 2.1308 1.8756
N 2.1308 2.1308 0.0000
F 0.0000 2.1308 1.8756
F 2.1308 0.0000 1.8756
```

excess energy over the best structure of this formula in the dataset	0.000	eV per atom